Below is Li2AlCd after structural relaxation, with properties calculated at the GGA-PBE level.

The structure in CIF format:
```
data_Li2AlCd
_chemical_formula_sum 'Li2 Al1 Cd1'
_cell_length_a 4.969
_cell_length_b 4.969
_cell_length_c 5.231
_cell_angle_alpha 96.23
_cell_angle_beta 96.23
_cell_angle_gamma 33.64
_symmetry_space_group_name_H-M 'P 1'
_symmetry_Int_Tables_number 1
_symmetry_space_group_name_Hall 'P 1'
loop_
_atom_site_label
_atom_site_fract_x
_atom_site_fract_y
_atom_site_fract_z
Li1 0.000 0.000 0.000
Li2 0.236 0.236 0.742
Al1 0.741 0.741 0.233
Cd1 0.489 0.489 0.499
```

Calculated values
E in eV per atom: -2.257
Crystal system: monoclinic